Entry from Alexandria: crystalline NbPd2Au at its relaxed geometry (PBE).

## Properties
- Electronic total energy: -0.2280 hartree per atom
- SG: P4/mmm (123)
- ΔE to the lowest computed polymorph: 53 meV per atom
- Calculated density: 12.55 g cm⁻³

```
NbPd2Au
1.0
2.894 0.000 0.000
0.000 2.894 0.000
0.000 0.000 7.944
Nb Pd Au
1 2 1
direct
0.000 0.000 0.000
0.500 0.500 0.241
0.500 0.500 0.759
0.000 0.000 0.500
```